# 1
Density functional theory data (PBE) for a relaxed structure of K2NaLaCl6.

Results
M_tot (Bohr magnetons per cell): 0.000
Formation energy without anion corrections (meV/atom): -2064
E (eV per atom): -4.016

Lattice parameters (Å, degrees): 10.994 10.994 10.994 90.00 90.00 90.00
Space group Fm-3m (No. 225)
Unique sites:
K 0.250 0.250 0.250 x8
Na 0.000 0.000 0.000 x4
La 0.000 0.000 0.500 x4
Cl 0.000 0.000 0.249 x24



# 2
Density functional theory data (PBE) for a relaxed structure of Tm4HgTe3.

Results
M_tot (Bohr magnetons per cell): 0.000
Formation energy without anion corrections (meV/atom): -1017
E (eV per atom): -4.469

Lattice parameters (Å, degrees): 8.905 12.237 4.162 90.00 90.00 90.00
Space group Cmmm (No. 65)
Unique sites:
Tm 0.000 0.239 0.000 x4
Tm 0.235 0.000 0.500 x4
Hg 0.000 0.000 0.000 x2
Te 0.000 0.500 0.000 x2
Te 0.250 0.250 0.500 x4



# 3
Density functional theory data (PBE) for a relaxed structure of Ta2TlCd.

Results
M_tot (Bohr magnetons per cell): 0.000
Energy relative to the elements (eV/atom): 0.507
E (eV per atom): -6.240

Lattice parameters (Å, degrees): 3.338 5.015 9.775 90.00 90.00 90.00
Space group Imm2 (No. 44)
Unique sites:
Ta 0.000 0.000 0.000 x2
Ta 0.000 0.500 0.285 x2
Tl 0.000 0.500 0.763 x2
Cd 0.000 0.000 0.524 x2